(1)
# PBEsol Dy5CoBi2, relaxed
# energy: -183.5 eV per cell
# energy relative to the elements: -0.584 eV per atom
# total moment: 0.0000 μB/atom
data_Dy5CoBi2
_cell_length_a 12.2025
_cell_length_b 8.7284
_cell_length_c 7.8585
_cell_angle_alpha 90.00
_cell_angle_beta 90.00
_cell_angle_gamma 90.00
_space_group_name_H-M_alt 'P n m a'
_space_group_IT_number 62
_space_group_name_Hall '-P 2ac 2n'
loop_
_atom_site_label
_atom_site_type_symbol
_atom_site_fract_x
_atom_site_fract_y
_atom_site_fract_z
_atom_site_occupancy
Dy1 Dy 0.0024 0.2500 0.0501 1
Dy2 Dy 0.0623 0.5375 0.3229 1
Dy3 Dy 0.1901 0.2500 0.6147 1
Dy4 Dy 0.1986 0.7500 0.6499 1
Co1 Co 0.0096 0.2500 0.4317 1
Bi1 Bi 0.1740 0.0092 0.9260 1

***

(2)
# PBEsol Co2ReBiF, relaxed
# formation energy (no corrections): 46.60 kJ/mol of atoms
# energy: -32.6 eV per cell
# total moment: 0.0003 μB/atom
data_Co2ReBiF
_cell_length_a 4.5242
_cell_length_b 4.5242
_cell_length_c 3.9281
_cell_angle_alpha 90.00
_cell_angle_beta 90.00
_cell_angle_gamma 90.00
_space_group_name_H-M_alt 'P 4/m m m'
_space_group_IT_number 123
_space_group_name_Hall '-P 4 2'
loop_
_atom_site_label
_atom_site_type_symbol
_atom_site_fract_x
_atom_site_fract_y
_atom_site_fract_z
_atom_site_occupancy
Co1 Co 0.0000 0.5000 0.0000 1
Re1 Re 0.0000 0.0000 0.0000 1
Bi1 Bi 0.5000 0.5000 0.5000 1
F1 F 0.0000 0.0000 0.5000 1

***

(3)
# PBEsol GaCo3Bi, relaxed
# energy: -26.9 eV per cell
# energy relative to the elements: 0.796 eV per atom
# total moment: 0.6830 μB/atom
data_GaCo3Bi
_cell_length_a 4.3353
_cell_length_b 4.3353
_cell_length_c 4.3353
_cell_angle_alpha 90.00
_cell_angle_beta 90.00
_cell_angle_gamma 90.00
_space_group_name_H-M_alt 'P m -3 m'
_space_group_IT_number 221
_space_group_name_Hall '-P 4 2 3'
loop_
_atom_site_label
_atom_site_type_symbol
_atom_site_fract_x
_atom_site_fract_y
_atom_site_fract_z
_atom_site_occupancy
Ga1 Ga 0.0000 0.0000 0.0000 1
Co1 Co 0.0000 0.0000 0.5000 1
Bi1 Bi 0.5000 0.5000 0.5000 1

***

(4)
# PBEsol GaCoBi2Se, relaxed
# formation energy (no corrections): 55.04 kJ/mol of atoms
# energy: -20.6 eV per cell
# total moment: 0.2073 μB/atom
data_GaCoBi2Se
_cell_length_a 5.6646
_cell_length_b 5.6646
_cell_length_c 4.1870
_cell_angle_alpha 90.00
_cell_angle_beta 90.00
_cell_angle_gamma 90.00
_space_group_name_H-M_alt 'P 4/m m m'
_space_group_IT_number 123
_space_group_name_Hall '-P 4 2'
loop_
_atom_site_label
_atom_site_type_symbol
_atom_site_fract_x
_atom_site_fract_y
_atom_site_fract_z
_atom_site_occupancy
Ga1 Ga 0.0000 0.0000 0.0000 1
Co1 Co 0.5000 0.5000 0.0000 1
Bi1 Bi 0.0000 0.5000 0.5000 1
Se1 Se 0.5000 0.5000 0.5000 1

***

Repeat the third record exactly.
# PBEsol GaCo3Bi, relaxed
# energy: -26.9 eV per cell
# energy relative to the elements: 0.796 eV per atom
# total moment: 0.6830 μB/atom
data_GaCo3Bi
_cell_length_a 4.3353
_cell_length_b 4.3353
_cell_length_c 4.3353
_cell_angle_alpha 90.00
_cell_angle_beta 90.00
_cell_angle_gamma 90.00
_space_group_name_H-M_alt 'P m -3 m'
_space_group_IT_number 221
_space_group_name_Hall '-P 4 2 3'
loop_
_atom_site_label
_atom_site_type_symbol
_atom_site_fract_x
_atom_site_fract_y
_atom_site_fract_z
_atom_site_occupancy
Ga1 Ga 0.0000 0.0000 0.0000 1
Co1 Co 0.0000 0.0000 0.5000 1
Bi1 Bi 0.5000 0.5000 0.5000 1